VASP calculation (PBE) on YGa4Pd2 after structural relaxation.

The structure in POSCAR format:
```
YGa4Pd2
1.0
8.1548 0.0000 0.0000
0.0000 8.1548 0.0000
0.0000 0.0000 3.8730
Y Ga Pd
2 8 4
Cartesian
0.0000 0.0000 0.0000
4.0774 4.0774 1.9365
0.6360 2.6396 1.9365
1.4377 4.7134 0.0000
2.6396 0.6360 1.9365
3.4414 6.7170 0.0000
4.7134 1.4377 0.0000
5.5151 7.5187 1.9365
6.7170 3.4414 0.0000
7.5187 5.5151 1.9365
1.7154 6.4394 1.9365
2.3620 2.3620 0.0000
5.7928 5.7928 0.0000
6.4394 1.7154 1.9365
```

Properties
As for the formation enthalpy at 0 K: -565 meV per atom. Its total DFT energy (no corrections) is -0.3456 Ry/atom. The value obtained for the distance to the lowest polymorph of the same formula is 120 meV/atom. The magnetization comes out at 0.00 μB per formula unit.

VASP calculation (PBE) on YGaPd2 after structural relaxation.

The structure in POSCAR format:
```
YGaPd2
1.0
-1.5511 2.4709 5.2282
1.5511 -2.4709 5.2282
1.5511 2.4709 -5.2282
Y Ga Pd
1 1 2
Cartesian
0.0000 0.0000 0.0000
0.0000 0.0000 5.2282
0.0000 0.0000 2.7942
0.0000 0.0000 7.6622
```

Properties
As for the formation enthalpy at 0 K: -193 meV per atom. Its total DFT energy (no corrections) is -0.3794 Ry/atom. The magnetization comes out at 0.00 μB per formula unit.

VASP calculation (PBE) on Y2Ga7Pd after structural relaxation.

The structure in POSCAR format:
```
Y2Ga7Pd
1.0
4.1969 0.0000 0.0000
0.0000 4.1969 0.0000
0.0000 0.0000 10.8471
Y Ga Pd
2 7 1
Cartesian
0.0000 2.0984 2.6500
2.0984 0.0000 8.1970
0.0000 0.0000 0.0000
0.0000 0.0000 5.4235
0.0000 2.0984 6.9665
0.0000 2.0984 9.4004
2.0984 0.0000 1.4467
2.0984 0.0000 3.8805
2.0984 2.0984 5.4235
2.0984 2.0984 0.0000
```

Properties
As for the formation enthalpy at 0 K: -510 meV per atom. Its total DFT energy (no corrections) is -0.3264 Ry/atom. The magnetization comes out at 0.00 μB per formula unit.